First-principles (GGA+U) data for an optimized crystal structure of CoRe2F2, as listed in Alexandria.

Mass density ... 10.2 Mg/m³
Calculated total energy ... -6.315 eV/atom
Space-group type ... No. 127
Crystal system ... tetragonal
Energy above the lowest structure with this stoichiometry ... 609 meV per atom

The structure in CIF format:
```
data_CoRe2F2
_chemical_formula_sum 'Co2 Re4 F4'
_space_group_name_H-M_alt 'P 1'
_space_group_IT_number 1
_space_group_name_Hall 'P 1'
_cell_length_a 7.627
_cell_length_b 7.627
_cell_length_c 2.620
_cell_angle_alpha 90.00
_cell_angle_beta 90.00
_cell_angle_gamma 90.00
loop_
_atom_site_label
_atom_site_type_symbol
_atom_site_fract_x
_atom_site_fract_y
_atom_site_fract_z
Co1 Co 0.000 0.000 0.000
Re1 Re 0.889 0.611 0.000
F1 F 0.236 0.736 0.500
Co2 Co 0.500 0.500 0.000
F2 F 0.736 0.764 0.500
F3 F 0.764 0.264 0.500
Re2 Re 0.389 0.889 0.000
Re3 Re 0.111 0.389 0.000
F4 F 0.264 0.236 0.500
Re4 Re 0.611 0.111 0.000
```